Entry from the Alexandria database: Re2Ru5Rh after structural relaxation (GGA-PBE).

Total energy = -9.79 eV/atom
Crystal system = tetragonal
Calculated formation energy = 0.04 eV per atom

```
Re2Ru5Rh
1.0
4.912 0.837 -2.179
-1.788 4.651 -2.180
-0.479 -0.841 5.352
Rh Re Ru
1 2 5
direct
0.778 0.778 0.000
0.267 0.767 0.500
0.767 0.267 0.500
0.283 0.283 0.500
0.783 0.783 0.500
0.283 0.783 0.000
0.783 0.283 0.000
0.278 0.277 0.000
```


Entry from the Alexandria database: ReRuRh4 after structural relaxation (GGA-PBE).

Total energy = -8.36 eV/atom
Relative energy among the computed polymorphs = 0.00 eV per formula unit
Crystal system = monoclinic
Calculated formation energy = 0.17 eV per atom

```
ReRuRh4
1.0
7.412 0.000 0.000
0.000 5.209 -0.177
0.000 -2.306 4.693
Rh Re Ru
8 2 2
direct
0.689 0.245 0.250
0.189 0.255 0.750
0.811 0.745 0.250
0.189 0.746 0.250
0.311 0.755 0.750
0.811 0.254 0.750
0.311 0.246 0.250
0.689 0.754 0.750
0.000 0.500 0.500
0.500 0.000 0.500
0.000 0.000 0.000
0.500 0.500 0.000
```


Entry from the Alexandria database: ReRu2Rh after structural relaxation (GGA-PBE).

Total energy = -9.52 eV/atom
Relative energy among the computed polymorphs = 0.59 eV per formula unit
Crystal system = trigonal
Calculated formation energy = 0.06 eV per atom

```
ReRu2Rh
1.0
8.997 -0.010 -0.006
8.586 2.689 -0.006
8.586 1.308 2.349
Ru Rh Re
2 1 1
direct
0.251 0.251 0.251
0.999 0.999 0.999
0.750 0.750 0.750
0.500 0.500 0.500
```


Entry from the Alexandria database: ReRuRh after structural relaxation (GGA-PBE).

Total energy = -9.37 eV/atom
Relative energy among the computed polymorphs = 1.34 eV per formula unit
Crystal system = tetragonal
Calculated formation energy = 0.32 eV per atom

```
ReRuRh
1.0
-3.148 -0.451 3.550
1.328 -0.328 4.566
0.803 2.674 -3.862
Rh Re Ru
1 1 1
direct
0.337 0.337 0.000
0.003 0.003 0.000
0.660 0.660 0.000
```


Entry from the Alexandria database: ReRuRh after structural relaxation (GGA-PBE).

Total energy = -9.72 eV/atom
Relative energy among the computed polymorphs = 0.29 eV per formula unit
Crystal system = tetragonal
Calculated formation energy = -0.03 eV per atom

```
ReRuRh
1.0
6.030 -0.009 0.010
5.406 2.673 0.006
0.625 0.149 2.678
Re Ru Rh
1 1 1
direct
0.003 0.003 0.997
0.660 0.660 0.340
0.337 0.337 0.663
```


Entry from the Alexandria database: ReRuRh6 after structural relaxation (GGA-PBE).

Total energy = -7.47 eV/atom
Relative energy among the computed polymorphs = 6.11 eV per formula unit
Crystal system = trigonal
Calculated formation energy = 0.76 eV per atom

```
ReRuRh6
1.0
-3.974 -0.947 -3.134
-0.519 -4.633 2.186
-3.153 2.088 3.495
Rh Ru Re
6 1 1
direct
0.173 0.173 0.566
0.827 0.434 0.827
0.434 0.827 0.827
0.827 0.827 0.434
0.566 0.173 0.173
0.173 0.566 0.173
0.000 0.000 0.000
0.500 0.500 0.500
```


Entry from the Alexandria database: ReRuRh after structural relaxation (GGA-PBE).

Total energy = -9.82 eV/atom
Relative energy among the computed polymorphs = 0.00 eV per formula unit
Crystal system = orthorhombic
Calculated formation energy = -0.13 eV per atom

```
ReRuRh
1.0
4.347 0.000 0.000
0.000 4.770 0.000
0.000 0.000 8.244
Ru Rh Re
4 4 4
direct
0.500 0.592 0.169
0.000 0.908 0.831
0.000 0.408 0.669
0.500 0.092 0.331
0.500 0.083 0.998
0.000 0.417 0.002
0.000 0.917 0.498
0.500 0.583 0.502
0.500 0.582 0.835
0.000 0.918 0.165
0.500 0.082 0.665
0.000 0.418 0.335
```


Entry from the Alexandria database: ReRu2Rh after structural relaxation (GGA-PBE).

Total energy = -9.56 eV/atom
Relative energy among the computed polymorphs = 0.47 eV per formula unit
Crystal system = tetragonal
Calculated formation energy = 0.03 eV per atom

```
ReRu2Rh
1.0
2.731 0.004 0.000
-0.005 2.731 0.000
0.000 0.000 7.661
Ru Re Rh
2 1 1
direct
0.000 0.000 0.002
0.000 0.000 0.498
0.500 0.500 0.250
0.500 0.500 0.750
```